No. 1
Entry from the Alexandria database: an optimized crystal structure of Pm2Al4SiPd3 (PBE-GGA).

a b c (Å): 4.2566 4.2566 10.5447
angles (deg): 90.00 90.00 90.00
With the nearest neighbours (Å) after each atom.
Fractional positions:
Pm: 0.0000 0.5000 0.2481  8 Al 3.24-3.40, 6 Pd 3.27-3.37, 2 Si 3.37
Pm: 0.5000 0.0000 0.7519  8 Al 3.24-3.40, 6 Pd 3.27-3.37, 2 Si 3.37
Al: 0.0000 0.0000 0.5000  4 Pd 2.54
Al: 0.0000 0.5000 0.8647  3 Pd 2.47-2.56, 2 Si 2.56
Al: 0.5000 0.0000 0.1353  3 Pd 2.47-2.56, 2 Si 2.56
Al: 0.5000 0.5000 0.5000  4 Pd 2.54
Si: 0.5000 0.5000 0.0000  4 Al 2.56
Pd: 0.0000 0.0000 0.0000  4 Al 2.56
Pd: 0.0000 0.5000 0.6308  5 Al 2.47-2.54
Pd: 0.5000 0.0000 0.3692  5 Al 2.47-2.54

Its space group is P-4m2 (115). For the density of states at the Fermi level, the calculation gives 0.843 states/eV per atom.


No. 2
Entry from the Alexandria database: an optimized crystal structure of Ho2ZnOsC (PBE-GGA).

a b c (Å): 4.9246 4.9246 3.8986
angles (deg): 90.00 90.00 90.00
With the nearest neighbours (Å) after each atom.
Fractional positions:
Ho: 0.0000 0.5000 0.0000  2 C 2.46
Ho: 0.5000 0.0000 0.0000  2 C 2.46
Zn: 0.0000 0.0000 0.5000  8 Ho 3.14, 4 Os 3.48
Os: 0.5000 0.5000 0.5000  2 C 1.95
C: 0.5000 0.5000 0.0000  2 Os 1.95

For the energy relative to the elements, the calculation gives -191 kJ/mol of formula units. Its space group is P4/mmm (123). For the density of states at the Fermi level, the calculation gives 0.310 states/eV per atom.


No. 3
Entry from the Alexandria database: an optimized crystal structure of ScAs2CSe (PBE-GGA).

a b c (Å): 5.1461 5.1461 5.0182
angles (deg): 90.00 90.00 90.00
With the nearest neighbours (Å) after each atom.
Fractional positions:
Sc: 0.0000 0.0000 0.0000  2 Se 2.51, 4 As 2.57
As: 0.0000 0.5000 0.0000  2 Sc 2.57
As: 0.5000 0.0000 0.0000  2 Sc 2.57
C: 0.5000 0.5000 0.5000  8 As 3.59, 4 Se 3.64
Se: 0.0000 0.0000 0.5000  2 Sc 2.51

Its space group is P4/mmm (123). For the density of states at the Fermi level, the calculation gives 1.267 states/eV per atom.


No. 4
Entry from the Alexandria database: an optimized crystal structure of BaSnPd3 (PBE-GGA).

a b c (Å): 5.1076 5.1076 5.1076
angles (deg): 90.00 90.00 90.00
With the nearest neighbours (Å) after each atom.
Fractional positions:
Ba: 0.0000 0.0000 0.0000  12 Pd 3.61
Sn: 0.5000 0.5000 0.5000  6 Pd 2.55
Pd: 0.0000 0.5000 0.5000  2 Sn 2.55
Pd: 0.5000 0.0000 0.5000  2 Sn 2.55
Pd: 0.5000 0.5000 0.0000  2 Sn 2.55

For the energy relative to the elements, the calculation gives -139 kJ/mol of formula units. Its space group is Pm-3m (221). For the density of states at the Fermi level, the calculation gives 0.837 states/eV per atom.


No. 5
Entry from the Alexandria database: an optimized crystal structure of Ac2YAl3Ga12 (PBE-GGA).

a b c (Å): 10.8636 10.8636 10.8636
angles (deg): 36.75 36.75 36.75
With the nearest neighbours (Å) after each atom.
Fractional positions:
Ac: 0.1373 0.1373 0.1373  12 Ga 3.25-3.61
Ac: 0.8627 0.8627 0.8627  12 Ga 3.25-3.61
Y: 0.5000 0.5000 0.5000  6 Ga 3.02
Al: 0.0000 0.5000 0.5000  4 Ga 2.57
Al: 0.5000 0.0000 0.5000  4 Ga 2.57
Al: 0.5000 0.5000 0.0000  4 Ga 2.57
Ga: 0.0540 0.6237 0.6237  4 Ga 2.72-2.95, 1 Y 3.02
Ga: 0.0900 0.0900 0.6882  2 Al 2.57, 4 Ga 2.72-2.75
Ga: 0.0900 0.6882 0.0900  2 Al 2.57, 4 Ga 2.72-2.75
Ga: 0.3118 0.9100 0.9100  2 Al 2.57, 4 Ga 2.72-2.75
Ga: 0.3763 0.3763 0.9460  4 Ga 2.72-2.95, 1 Y 3.02
Ga: 0.3763 0.9460 0.3763  4 Ga 2.72-2.95, 1 Y 3.02
Ga: 0.6237 0.0540 0.6237  4 Ga 2.72-2.95, 1 Y 3.02
Ga: 0.6237 0.6237 0.0540  4 Ga 2.72-2.95, 1 Y 3.02
Ga: 0.6882 0.0900 0.0900  2 Al 2.57, 4 Ga 2.72-2.75
Ga: 0.9100 0.3118 0.9100  2 Al 2.57, 4 Ga 2.72-2.75
Ga: 0.9100 0.9100 0.3118  2 Al 2.57, 4 Ga 2.72-2.75
Ga: 0.9460 0.3763 0.3763  4 Ga 2.72-2.95, 1 Y 3.02

For the energy relative to the elements, the calculation gives -245 kJ/mol of formula units. Its space group is R-3m (166). For the density of states at the Fermi level, the calculation gives 0.523 states/eV per atom.


No. 6
Entry from the Alexandria database: an optimized crystal structure of AcGdIn2 (PBE-GGA).

a b c (Å): 5.2201 5.2201 4.5563
angles (deg): 90.00 90.00 90.00
With the nearest neighbours (Å) after each atom.
Fractional positions:
Ac: 0.0000 0.0000 0.0000  8 In 3.46, 4 Gd 3.69
Gd: 0.5000 0.5000 0.0000  8 In 3.46, 4 Ac 3.69
In: 0.0000 0.5000 0.5000  4 Gd 3.46, 4 Ac 3.46, 4 In 3.69
In: 0.5000 0.0000 0.5000  4 Gd 3.46, 4 Ac 3.46, 4 In 3.69

For the energy relative to the elements, the calculation gives -155 kJ/mol of formula units. Its space group is P4/mmm (123). For the density of states at the Fermi level, the calculation gives 1.043 states/eV per atom.


No. 7
Entry from the Alexandria database: an optimized crystal structure of Na2TeBrN (PBE-GGA).

a b c (Å): 5.8373 5.8373 3.8125
angles (deg): 90.00 90.00 90.00
With the nearest neighbours (Å) after each atom.
Fractional positions:
Na: 0.0000 0.5000 0.0000  2 Br 2.92
Na: 0.5000 0.0000 0.0000  2 Br 2.92
Te: 0.0000 0.0000 0.5000  8 Na 3.49, 2 Te 3.81
Br: 0.5000 0.5000 0.0000  2 N 1.91
N: 0.5000 0.5000 0.5000  2 Br 1.91

Its space group is P4/mmm (123). For the density of states at the Fermi level, the calculation gives 0.313 states/eV per atom.


No. 8
Entry from the Alexandria database: an optimized crystal structure of TlIr2Cl (PBE-GGA).

a b c (Å): 4.6342 4.6342 4.6342
angles (deg): 60.00 60.00 60.00
With the nearest neighbours (Å) after each atom.
Fractional positions:
Tl: 0.0000 0.0000 0.0000  8 Ir 2.84
Ir: 0.2500 0.2500 0.2500  4 Cl 2.84, 4 Tl 2.84
Ir: 0.7500 0.7500 0.7500  4 Cl 2.84, 4 Tl 2.84
Cl: 0.5000 0.5000 0.5000  8 Ir 2.84

Its space group is Fm-3m (225). For the density of states at the Fermi level, the calculation gives 1.437 states/eV per atom.


No. 9
Entry from the Alexandria database: an optimized crystal structure of AlGeP (PBE-GGA).

a b c (Å): 3.5945 3.5945 4.8650
angles (deg): 90.00 90.00 120.00
With the nearest neighbours (Å) after each atom.
Fractional positions:
Al: 0.0000 0.0000 0.0000  3 P 2.48
Ge: 0.6667 0.3333 0.3986  3 P 2.60, 3 Al 2.84
P: 0.3333 0.6667 0.7204  3 Al 2.48, 3 Ge 2.60

For the energy relative to the elements, the calculation gives 2 kJ/mol of formula units. Its space group is P3m1 (156). For the density of states at the Fermi level, the calculation gives 0.360 states/eV per atom.


No. 10
Entry from the Alexandria database: an optimized crystal structure of ZrPb2O2 (PBE-GGA).

a b c (Å): 6.0816 6.0816 5.4904
angles (deg): 90.00 90.00 90.00
With the nearest neighbours (Å) after each atom.
Fractional positions:
Zr: 0.0000 0.0000 0.0000  4 O 2.15
Zr: 0.5000 0.5000 0.0000  4 O 2.15
Pb: 0.1999 0.3001 0.5000  2 O 2.77
Pb: 0.3001 0.8001 0.5000  2 O 2.77
Pb: 0.6999 0.1999 0.5000  2 O 2.77
Pb: 0.8001 0.6999 0.5000  2 O 2.77
O: 0.2415 0.2585 0.0000  2 Zr 2.15
O: 0.2585 0.7585 0.0000  2 Zr 2.15
O: 0.7415 0.2415 0.0000  2 Zr 2.15
O: 0.7585 0.7415 0.0000  2 Zr 2.15

Its space group is P4/mbm (127). For the density of states at the Fermi level, the calculation gives 0.276 states/eV per atom.


No. 11
Entry from the Alexandria database: an optimized crystal structure of Sc2PbBr (PBE-GGA).

a b c (Å): 8.1297 8.1297 8.1297
angles (deg): 135.34 135.34 65.00
With the nearest neighbours (Å) after each atom.
Fractional positions:
Sc: 0.1138 0.6250 0.9888  2 Br 2.74, 2 Pb 2.82
Sc: 0.3750 0.3638 0.4888  2 Br 2.74, 2 Pb 2.82
Sc: 0.6362 0.1250 0.0112  2 Br 2.74, 2 Pb 2.82
Sc: 0.8750 0.8862 0.5112  2 Br 2.74, 2 Pb 2.82
Pb: 0.2500 0.7500 0.5000  4 Sc 2.82
Pb: 0.5000 0.5000 0.0000  4 Sc 2.82
Br: 0.0000 0.0000 0.0000  4 Sc 2.74
Br: 0.7500 0.2500 0.5000  4 Sc 2.74

Its space group is I-42d (122). For the density of states at the Fermi level, the calculation gives 1.016 states/eV per atom.


No. 12
Entry from the Alexandria database: an optimized crystal structure of BaLi7Al5 (PBE-GGA).

a b c (Å): 7.3773 7.3773 7.3773
angles (deg): 135.80 99.34 96.94
With the nearest neighbours (Å) after each atom.
Fractional positions:
Ba: 0.0000 0.0000 0.0000  10 Li 3.36-3.59, 10 Al 3.55-3.71
Li: 0.2146 0.4940 0.7207  5 Al 2.80-3.02, 4 Li 3.04-3.07
Li: 0.2333 0.7333 0.5000  4 Al 2.79, 4 Li 2.98
Li: 0.3438 0.3438 0.0000  4 Al 2.96, 5 Li 2.98-3.05
Li: 0.3526 0.0010 0.3516  4 Li 2.83-3.04, 5 Al 2.94-3.02
Li: 0.6494 0.0010 0.6484  4 Li 2.83-3.04, 5 Al 2.94-3.02
Li: 0.6487 0.6487 0.0000  6 Al 2.88-3.03, 3 Li 2.98-3.07
Li: 0.7733 0.4940 0.2793  5 Al 2.80-3.02, 4 Li 3.04-3.07
Al: 0.5017 0.5010 0.5078  3 Al 2.74-2.81, 7 Li 2.79-3.01
Al: 0.5017 0.9939 0.0008  3 Al 2.74-2.81, 7 Li 2.79-3.01
Al: 0.7731 0.2731 0.5000  4 Al 2.75, 6 Li 3.02-3.03
Al: 0.9932 0.5010 0.9992  3 Al 2.74-2.81, 7 Li 2.79-3.01
Al: 0.9932 0.9939 0.4922  3 Al 2.74-2.81, 7 Li 2.79-3.01

For the energy relative to the elements, the calculation gives -179 kJ/mol of formula units. Its space group is Imm2 (44). For the density of states at the Fermi level, the calculation gives 0.285 states/eV per atom.


No. 13
Entry from the Alexandria database: an optimized crystal structure of Ba2LiCaPt (PBE-GGA).

a b c (Å): 6.2557 6.2557 5.2165
angles (deg): 90.00 90.00 90.00
With the nearest neighbours (Å) after each atom.
Fractional positions:
Ba: 0.0000 0.5000 0.0000  2 Pt 3.13
Ba: 0.5000 0.0000 0.0000  2 Pt 3.13
Li: 0.0000 0.0000 0.5000  2 Pt 2.61
Ca: 0.5000 0.5000 0.5000  8 Ba 4.07, 4 Li 4.42
Pt: 0.0000 0.0000 0.0000  2 Li 2.61

For the energy relative to the elements, the calculation gives -112 kJ/mol of formula units. Its space group is P4/mmm (123). For the density of states at the Fermi level, the calculation gives 0.840 states/eV per atom.


Calculated electronic total energy, -53.18, -32.87, -21.07, -22.94, -64.77, -25.27, -14.34, -17.50, -13.75, -32.65, -18.85, -35.89, -14.96 eV per formula unit (same order as the records).